DyTm2Ga3 | Alexandria via LeMat-Bulk | PBE | optimized geometry; calculated total energy = -26.06 eV per formula unit; calculated formation energy = -0.5723 eV per atom
1.0
5.003 0.000 0.000
-2.502 4.333 0.000
0.000 0.000 12.275
Dy Tm Ga
2 4 6
Cartesian
0.000 2.889 8.184
2.502 1.444 4.091
0.000 0.000 6.137
0.000 2.889 2.029
2.502 1.444 10.246
0.000 0.000 0.000
0.000 2.889 5.105
2.502 1.444 1.012
0.000 0.000 9.223
0.000 0.000 3.052
0.000 2.889 11.263
2.502 1.444 7.170